[1]
10
Lattice="-3.1609 0.7013 2.5436 2.3952 -0.9024 3.2252 4.2620 13.9640 -1.8861" Properties=species:S:1:pos:R:3 comment="GGA-PBE Ce5Se4N, relaxed" space_group="No. 139" volume_a3_per_atom=24.5 energy_ev_per_atom=-6.832 raw_formation_energy_ev_per_atom=-1.639 pbc="T T T"
Ce 1.1827 5.4943 3.2873
N 0.0000 0.0000 0.0000
Ce 0.6376 2.2786 0.1641
Se 3.1050 11.0967 0.7991
Ce -0.3829 -0.1006 2.8844
Ce 2.3136 8.2685 0.5954
Se 1.9922 8.3873 3.4956
Se 0.3913 2.6662 3.0836
Se 1.5041 5.3755 0.3871
Ce 2.8587 11.4842 3.7186

---

[2]
3
Lattice="3.5457 0.0000 0.0000 0.0000 3.5457 0.0000 -1.7729 -1.7729 4.9579" Properties=species:S:1:pos:R:3 comment="GGA-PBE CeSeN, relaxed" space_group="No. 107" volume_a3_per_atom=20.8 energy_ev_per_atom=-6.779 polymorph_energy_ev_per_fu=1.584 raw_formation_energy_ev_per_atom=-0.864 pbc="T T T"
Se 0.0000 0.0000 0.4256
Ce 1.7729 1.7729 2.1047
N 0.0000 0.0000 2.4276

---

[3]
12
Lattice="3.9684 0.0000 0.0000 -1.9842 6.6791 0.0961 0.0000 -3.0212 10.6010" Properties=species:S:1:pos:R:3 comment="GGA-PBE Ce5Se5N2, relaxed" space_group="No. 12" volume_a3_per_atom=23.5 energy_ev_per_atom=-7.014 raw_formation_energy_ev_per_atom=-1.702 pbc="T T T"
Ce 1.9842 3.4518 6.7761
Se 0.0000 1.2661 6.7479
Se 1.9842 2.3917 3.9492
Se 1.9842 1.9774 0.7637
Ce 0.0000 0.2060 3.9210
Ce 0.0000 0.0000 0.0000
Se 1.9842 -1.5106 5.3005
Se 0.0000 1.6804 9.9334
N 0.0000 -1.8582 8.4688
Ce 1.9842 -0.4072 8.4221
N 1.9842 5.5160 2.2283
Ce 0.0000 4.0651 2.2750

---

[4]
8
Lattice="3.9877 0.0000 0.0000 0.0000 7.0786 -0.0116 0.0000 -2.2428 6.7140" Properties=species:S:1:pos:R:3 comment="GGA-PBE Ce4Se3N, relaxed" space_group="No. 65" volume_a3_per_atom=23.7 energy_ev_per_atom=-6.951 raw_formation_energy_ev_per_atom=-1.637 pbc="T T T"
Ce 0.0000 3.8103 5.2809
Ce 0.0000 1.0256 1.4215
Ce 1.9939 -0.1335 5.1921
Se 0.0000 3.5393 -0.0058
Ce 1.9939 4.9694 1.5102
N 1.9939 0.0000 0.0000
Se 1.9939 2.4179 3.3512
Se 0.0000 -1.1214 3.3570

---

[5]
5
Lattice="3.8908 0.4148 -0.1587 -0.4209 3.8902 -0.1587 -1.4799 -1.8360 6.3469" Properties=species:S:1:pos:R:3 comment="GGA-PBE Ce2SeN2, relaxed" space_group="No. 12" volume_a3_per_atom=19.0 energy_ev_per_atom=-8.049 raw_formation_energy_ev_per_atom=-1.649 pbc="T T T"
Ce 0.1677 0.2081 4.2421
Se 0.0000 0.0000 0.0000
Ce 1.8223 2.2608 1.7875
N -0.0828 2.1032 3.0148
N 2.0728 0.3657 3.0148

---

[6]
18
Lattice="-5.1898 -2.1952 5.9738 2.2411 -7.6461 1.9886 4.0694 2.3260 4.4066" Properties=species:S:1:pos:R:3 comment="GGA-PBE Ce4Se3N2, relaxed" space_group="No. 15" volume_a3_per_atom=23.3 energy_ev_per_atom=-7.388 polymorph_energy_ev_per_fu=0.036 raw_formation_energy_ev_per_atom=-1.739 pbc="T T T"
Ce 2.4195 -0.7001 3.5260
N 0.1407 -0.3818 3.9671
Se -3.4368 -2.1534 6.6809
Ce 1.8775 -6.4895 10.4340
Se 1.8447 -0.8315 7.8463
Ce 4.1893 -2.4316 6.5492
N -2.9245 -6.9250 7.2013
Se -0.7240 -6.6838 4.5227
Ce -0.5410 -1.6173 5.7915
Ce -1.2988 -6.8151 8.8430
N 4.0452 -0.5903 5.1677
Se 1.7307 -3.4034 4.6130
Se 4.5575 -5.3619 5.6881
N 0.9800 -7.1335 8.4019
Ce -3.0686 -5.0837 5.8198
Ce 1.6617 -5.8980 6.5775
Se -0.6100 -4.1119 7.7560
Ce -0.7568 -1.0258 1.9350

---

[7]
10
Lattice="5.8488 -0.1900 -1.9491 -2.2850 5.1136 -2.5835 -0.3116 0.2988 6.4211" Properties=species:S:1:pos:R:3 comment="GGA-PBE Ce2SeN2, relaxed" space_group="No. 70" volume_a3_per_atom=19.2 energy_ev_per_atom=-7.988 raw_formation_energy_ev_per_atom=-1.587 pbc="T T T"
N 3.1161 2.6161 0.5357
Ce 1.1528 2.8920 -0.7042
N 0.1362 2.6064 1.3527
Ce 2.0995 2.3305 2.5927
Se 4.5975 0.6960 2.7885
N 1.2385 3.7926 -2.8336
Se -1.3453 4.5265 -0.9000
N 2.0138 1.4298 4.7220
Ce 4.2864 0.8520 -0.4563
Ce -1.0341 4.3705 2.3447

---

[8]
6
Lattice="-2.0071 1.9260 2.9342 -3.6621 -2.0757 -1.1426 4.4777 -5.4324 3.8431" Properties=species:S:1:pos:R:3 comment="GGA-PBE CeSeN, relaxed" space_group="No. 71" volume_a3_per_atom=21.9 energy_ev_per_atom=-7.180 polymorph_energy_ev_per_fu=0.381 raw_formation_energy_ev_per_atom=-1.266 pbc="T T T"
Ce -1.4202 -2.4150 0.6137
N -3.1527 0.2304 1.3608
Se -0.4503 -0.8916 3.0629
Se -0.7413 -4.6906 2.5718
N -2.5166 -0.3801 0.4308
Ce 0.2286 -3.1671 5.0210

---

[9]
9
Lattice="3.9942 0.0000 0.0000 -1.9971 6.5908 -0.8825 0.0000 -3.9264 8.3077" Properties=species:S:1:pos:R:3 comment="GGA-PBE Ce4Se3N2, relaxed" space_group="No. 12" volume_a3_per_atom=22.8 energy_ev_per_atom=-7.392 polymorph_energy_ev_per_fu=0.000 raw_formation_energy_ev_per_atom=-1.743 pbc="T T T"
Ce 0.0000 0.6493 6.7694
Se 1.9971 -1.3535 5.8113
Ce 1.9971 2.7585 4.3030
N 0.0000 1.5518 4.7628
Se 0.0000 0.0000 0.0000
Ce 1.9971 2.0152 0.6558
N 1.9971 1.1127 2.6624
Se 0.0000 4.0180 1.6139
Ce 0.0000 -0.0940 3.1222

---

[10]
12
Lattice="7.0980 0.2023 0.0000 2.1903 6.7831 0.0000 1.0952 3.3916 6.1530" Properties=species:S:1:pos:R:3 comment="GGA-PBE Ce6Se5N, relaxed" space_group="No. 12" volume_a3_per_atom=24.5 energy_ev_per_atom=-6.810 raw_formation_energy_ev_per_atom=-1.697 pbc="T T T"
Se 4.6441 3.4927 3.9508
Se 4.6441 3.4927 0.0000
Se 1.0952 3.3916 2.0250
Se 2.1903 6.7831 4.1280
Ce 3.2952 5.3079 1.8499
Se 5.7393 6.8843 2.2022
Ce 7.1286 5.4271 0.0000
N 0.0000 0.0000 0.0000
Ce 7.0882 5.0691 4.3031
Ce 2.1597 1.5583 0.0000
Ce 5.9931 1.6776 1.8499
Ce 4.3904 8.6994 4.3031

---

[11]
10
Lattice="5.8675 0.0000 0.0000 0.0000 6.7156 0.0000 -2.9337 -3.3578 5.8219" Properties=species:S:1:pos:R:3 comment="GGA-PBE Ce2Se2N, relaxed" space_group="No. 72" volume_a3_per_atom=22.9 energy_ev_per_atom=-7.170 raw_formation_energy_ev_per_atom=-1.738 pbc="T T T"
N 1.4669 3.3578 0.0000
Ce 0.0000 1.3355 4.6482
Se 0.0000 -2.3292 4.1270
Se 0.0000 1.0286 1.6949
Ce 2.9337 2.0223 1.1737
Se 2.9337 2.3292 4.1270
N 4.4006 3.3578 0.0000
Se 2.9337 5.6870 1.6949
Ce 2.9337 -1.3355 4.6482
Ce 0.0000 4.6934 1.1737

---

[12]
6
Lattice="-0.6952 -3.2637 2.1909 3.4160 -1.6025 -1.3028 5.1403 0.8022 6.4340" Properties=species:S:1:pos:R:3 comment="GGA-PBE CeSeN, relaxed" space_group="No. 12" volume_a3_per_atom=20.7 energy_ev_per_atom=-7.307 polymorph_energy_ev_per_fu=0.000 raw_formation_energy_ev_per_atom=-1.392 pbc="T T T"
Ce 2.9156 -1.5028 1.2578
N 2.0118 -3.6061 1.4746
N 0.6513 -1.1730 1.0301
Se 6.1916 -2.2843 4.7439
Ce 4.8878 -2.4740 7.6810
Se 5.0279 -3.2949 2.8921

---

[13]
4
Lattice="-2.8204 -1.1804 -2.0927 0.4800 -0.5116 -3.6380 1.1312 -7.2431 -0.7188" Properties=species:S:1:pos:R:3 comment="GGA-PBE Ce2SeN, relaxed" space_group="No. 160" volume_a3_per_atom=20.9 energy_ev_per_atom=-7.226 polymorph_energy_ev_per_fu=1.180 raw_formation_energy_ev_per_atom=-1.306 pbc="T T T"
N -0.5844 -4.5381 -3.2122
Ce -0.2403 -2.4503 -1.5738
Ce 0.5779 -5.3095 -1.0637
Se -0.4357 -8.3478 -4.5435

---

[14]
18
Lattice="-2.9395 5.3551 0.6310 -2.8355 -2.0129 7.2017 5.6620 2.9313 4.8276" Properties=species:S:1:pos:R:3 comment="GGA-PBE Ce4Se2N3, relaxed" space_group="No. 15" volume_a3_per_atom=21.3 energy_ev_per_atom=-7.809 raw_formation_energy_ev_per_atom=-1.623 pbc="T T T"
N -3.1923 -0.4541 7.2538
Ce 1.4178 4.1308 10.6570
Ce 1.6962 0.7601 10.6744
Se -1.5604 2.4514 5.1984
Se 2.1492 1.0771 4.2571
N 3.0792 6.7276 5.4065
N 0.6621 6.3305 9.9556
N -0.0762 2.3683 10.2570
Ce 0.9701 3.9836 4.4111
Ce -0.4622 -0.3824 4.9064
Ce 0.3492 6.6559 7.7539
N -0.7751 -0.0570 2.7047
N -0.0369 3.9052 2.4033
Ce -1.0831 2.2899 8.2492
Se 1.4474 3.8222 7.4619
Ce -1.8092 5.5134 1.9859
Ce -1.5308 2.1427 2.0033
Se -2.2622 5.1965 8.4032

---

[15]
4
Lattice="-2.3406 0.2207 -2.9551 -3.6629 -0.8125 0.4277 -3.2485 6.1976 0.6230" Properties=species:S:1:pos:R:3 comment="GGA-PBE Ce2SeN, relaxed" space_group="No. 166" volume_a3_per_atom=20.6 energy_ev_per_atom=-7.521 polymorph_energy_ev_per_fu=0.000 raw_formation_energy_ev_per_atom=-1.601 pbc="T T T"
N 0.0000 0.0000 0.0000
Ce -2.2512 1.0847 -0.5487
Se -4.6260 2.8029 -0.9522
Ce -7.0007 4.5211 -1.3557

---

[16]
7
Lattice="-0.8991 -3.4208 2.9566 2.9539 -2.7267 -2.2565 6.7976 -0.6221 4.9413" Properties=species:S:1:pos:R:3 comment="GGA-PBE Ce4Se2N, relaxed" space_group="No. 139" volume_a3_per_atom=23.6 energy_ev_per_atom=-6.805 raw_formation_energy_ev_per_atom=-1.229 pbc="T T T"
Ce -0.4496 -1.7104 1.4783
N 0.0000 0.0000 0.0000
Ce 4.8974 -1.4295 3.4294
Ce 3.9550 -5.3401 2.2121
Se 6.2128 -4.3809 4.0085
Se 2.6396 -2.3887 1.6329
Ce 1.4770 -1.3633 -1.1282

---

[17]
5
Lattice="3.9369 0.0000 0.0000 -1.9685 3.4095 0.0000 0.0000 0.0000 7.0063" Properties=species:S:1:pos:R:3 comment="GGA-PBE Ce2SeN2, relaxed" space_group="No. 164" volume_a3_per_atom=18.8 energy_ev_per_atom=-8.076 raw_formation_energy_ev_per_atom=-1.676 pbc="T T T"
N 1.9685 1.1365 2.6311
Se 0.0000 0.0000 0.0000
Ce 1.9685 1.1365 4.9281
Ce 0.0000 2.2730 2.0782
N 0.0000 2.2730 4.3752

---

[18]
16
Lattice="5.7322 0.0000 0.0000 0.0000 5.7369 0.1117 0.0000 -0.6338 10.6525" Properties=species:S:1:pos:R:3 comment="GGA-PBE Ce2SeN, relaxed" space_group="No. 13" volume_a3_per_atom=21.9 energy_ev_per_atom=-7.385 polymorph_energy_ev_per_fu=0.543 raw_formation_energy_ev_per_atom=-1.466 pbc="T T T"
Ce 1.3604 2.5878 4.3386
Se 1.5365 2.8179 1.3889
Ce 4.3718 2.5154 6.4256
Se 4.1956 2.2852 9.3754
Ce 1.3604 -0.0362 1.0435
N 4.6122 2.3254 4.0528
Se 1.5365 5.4706 4.1049
Se 4.1956 -0.3674 6.6593
Ce 4.4131 2.6488 1.6697
N 1.1200 4.8769 9.4349
Ce 4.3718 5.1393 9.7208
Ce 1.3191 2.4543 9.0946
N 1.1200 2.7778 6.7114
Ce 4.4131 -0.0972 3.7124
Ce 1.3191 5.2004 7.0518
N 4.6122 0.2262 1.3293

---

[19]
10
Lattice="4.0443 0.0000 0.0000 0.0000 4.0443 0.0000 0.0000 0.0000 14.8319" Properties=species:S:1:pos:R:3 comment="GGA-PBE CeSmSe2N, relaxed" space_group="No. 129" volume_a3_per_atom=24.3 energy_ev_per_atom=-6.891 raw_formation_energy_ev_per_atom=-1.702 pbc="T T T"
Se 2.0221 0.0000 4.6282
Se 0.0000 2.0221 10.2037
Sm 0.0000 2.0221 12.9048
Sm 2.0221 0.0000 1.9271
Se 2.0221 0.0000 13.5166
N 2.0221 2.0221 7.4160
Ce 0.0000 2.0221 6.3049
N 0.0000 0.0000 7.4160
Se 0.0000 2.0221 1.3153
Ce 2.0221 0.0000 8.5270

---

[20]
10
Lattice="-3.6278 -1.4161 0.6517 1.2018 -3.5920 -1.1154 3.8584 -3.2118 14.5002" Properties=species:S:1:pos:R:3 comment="GGA-PBE CeSnSe2N, relaxed" space_group="No. 129" volume_a3_per_atom=23.9 energy_ev_per_atom=-6.053 raw_formation_energy_ev_per_atom=-1.007 pbc="T T T"
Se 1.6440 -3.5865 13.3210
Ce 0.4061 -2.5560 8.6687
Ce 2.2393 -3.1599 5.5996
Se -0.5823 -1.7333 4.9543
Se 3.2277 -3.9826 9.3139
Se 1.0013 -2.1294 0.9473
Sn 3.8785 -4.5244 11.7599
N 1.9292 -1.6059 7.2501
Sn -1.2332 -1.1915 2.5084
N 0.7162 -4.1100 7.0182

---

[21]
7
Lattice="4.6150 0.0000 0.0000 -2.3075 3.9967 0.0000 0.0000 0.0000 8.7581" Properties=species:S:1:pos:R:3 comment="GGA-PBE Ce2TeSe2N2, relaxed" space_group="No. 164" volume_a3_per_atom=23.1 energy_ev_per_atom=-6.097 raw_formation_energy_ev_per_atom=-0.579 pbc="T T T"
Te 0.0000 0.0000 0.0000
Se 0.0000 0.0000 3.1453
N 2.3075 1.3322 8.0812
Ce 2.3075 1.3322 1.4960
Se 0.0000 0.0000 5.6129
Ce 0.0000 2.6645 7.2621
N 0.0000 2.6645 0.6770

---

[22]
10
Lattice="4.1064 0.0000 0.0000 0.0000 6.7251 -0.3331 0.0000 -1.8435 7.7369" Properties=species:S:1:pos:R:3 comment="GGA-PBE CeThSeN2, relaxed" space_group="No. 11" volume_a3_per_atom=21.1 energy_ev_per_atom=-8.489 raw_formation_energy_ev_per_atom=-1.791 pbc="T T T"
N 3.0798 2.6740 2.7150
N 3.0798 1.8536 6.6521
Ce 1.0266 2.8303 6.9014
N 1.0266 3.0280 0.7517
Se 1.0266 -1.0848 5.8616
Th 3.0798 1.0805 4.4437
Th 1.0266 3.8011 2.9600
Se 3.0798 5.9664 1.5421
Ce 3.0798 2.0513 0.5024
N 1.0266 2.2076 4.6888

---

[23]
7
Lattice="3.9198 0.0000 0.0000 1.9599 6.1949 0.0326 1.9599 2.3727 6.0781" Properties=species:S:1:pos:R:3 comment="GGA-PBE Ce2TmSe2N2, relaxed" space_group="No. 12" volume_a3_per_atom=21.0 energy_ev_per_atom=-7.494 raw_formation_energy_ev_per_atom=-1.785 pbc="T T T"
N 3.9198 6.3738 5.6012
Ce 1.9599 2.8328 1.4910
Se 3.9198 2.8058 4.0690
Se 3.9198 5.7618 2.0417
Ce 5.8796 5.7348 4.6197
Tm 0.0000 0.0000 0.0000
N 3.9198 2.1938 0.5095